This record from Alexandria describes crystalline Rb2Ga2N at its relaxed geometry. The functional is GGA-PBE.

It has space group P4/mbm (No. 127), with a = 6.4257 Å, b = 6.4257 Å, c = 5.9308 Å, α = 90.00°, β = 90.00° and γ = 90.00°. The distinct sites, in fractional coordinates, are Rb at (0.1926, 0.3074, 0.0000), Ga at (0.1460, 0.6460, 0.5000) and N at (0.0000, 0.0000, 0.5000).

For the density of states at the Fermi level, the calculation gives 7.7 states/eV per cell. The calculation puts the mass density at 4399 kg/m3. For the total magnetization, the calculation gives 0.0 Bohr magnetons per cell. The value obtained for the uncorrected formation energy is 14.97 kcal/mol of atoms. For the polymorph energy (0 for the lowest one), the calculation gives 0.435 eV/atom.